Record 1
## Ag3MoSe (PBE)

Data for a relaxed structure of Ag3MoSe.

Values from the calculation:
E above lowest polymorph   0 meV/atom

Cell: 5.035 5.035 5.035 Å, 90.00 90.00 90.00°
Space group Pm-3m (No. 221)
One atom of each set of equivalent atoms:
Ag: 0.000 0.000 0.500 [3 per cell]
Mo: 0.500 0.500 0.500 [1 per cell]
Se: 0.000 0.000 0.000 [1 per cell]

***

Record 2
## YBeCrRh2 (PBE)

Data for a relaxed structure of YBeCrRh2.

Values from the calculation:
Formation energy from the elements   -245 meV/atom

Cell: 4.329 4.329 4.277 Å, 90.00 90.00 90.00°
Space group P4/mmm (No. 123)
One atom of each set of equivalent atoms:
Y: 0.000 0.000 0.000 [1 per cell]
Be: 0.500 0.500 0.500 [1 per cell]
Cr: 0.500 0.500 0.000 [1 per cell]
Rh: 0.000 0.500 0.500 [2 per cell]

***

Record 3
## MgBeS2 (PBE)

Data for a relaxed structure of MgBeS2.

Values from the calculation:
E above lowest polymorph   0 meV/atom

Cell: 12.269 3.679 6.599 Å, 90.00 98.95 90.00°
Space group Cm (No. 8)
One atom of each set of equivalent atoms:
Mg: 0.000 0.000 0.000 [2 per cell]
Mg: 0.240 0.000 0.722 [2 per cell]
Be: 0.248 0.500 0.245 [2 per cell]
Be: 0.488 0.000 0.477 [2 per cell]
S: 0.164 0.500 0.504 [2 per cell]
S: 0.202 0.000 0.077 [2 per cell]
S: 0.423 0.500 0.323 [2 per cell]
S: 0.441 0.000 0.770 [2 per cell]

***

Record 4
## Gd2MgZr (PBE)

Data for a relaxed structure of Gd2MgZr.

Values from the calculation:
Formation energy from the elements   109 meV/atom
E above lowest polymorph   114 meV/atom

Cell: 7.597 7.597 7.597 Å, 90.00 90.00 90.00°
Space group Fm-3m (No. 225)
One atom of each set of equivalent atoms:
Gd: 0.250 0.250 0.250 [8 per cell]
Mg: 0.000 0.000 0.000 [4 per cell]
Zr: 0.000 0.000 0.500 [4 per cell]

***

Record 5
## LiDyY2Te5 (PBE)

Data for a relaxed structure of LiDyY2Te5.

Values from the calculation:
Uncorrected energy   -5.147 eV per atom

Cell: 4.328 18.446 13.203 Å, 90.00 90.00 90.00°
Space group Cmc2_1 (No. 36)
One atom of each set of equivalent atoms:
Li: 0.000 0.056 0.000 [4 per cell]
Dy: 0.000 0.303 0.544 [4 per cell]
Y: 0.000 0.373 0.834 [4 per cell]
Y: 0.000 0.394 0.220 [4 per cell]
Te: 0.000 0.003 0.319 [4 per cell]
Te: 0.000 0.137 0.535 [4 per cell]
Te: 0.000 0.188 0.879 [4 per cell]
Te: 0.000 0.218 0.206 [4 per cell]
Te: 0.000 0.454 0.611 [4 per cell]

***

Record 6
## RbNaLi2Pb (PBE)

Data for a relaxed structure of RbNaLi2Pb.

Values from the calculation:
Formation energy from the elements   -107 meV/atom

Cell: 5.522 5.522 5.985 Å, 90.00 90.00 90.00°
Space group P4/mmm (No. 123)
One atom of each set of equivalent atoms:
Rb: 0.000 0.000 0.000 [1 per cell]
Na: 0.500 0.500 0.000 [1 per cell]
Li: 0.000 0.500 0.500 [2 per cell]
Pb: 0.500 0.500 0.500 [1 per cell]

***

Record 7
## Cd2Ge2Pb (PBE)

Data for a relaxed structure of Cd2Ge2Pb.

Values from the calculation:
Formation energy from the elements   193 meV/atom
E above lowest polymorph   46 meV/atom

Cell: 8.506 8.506 3.261 Å, 90.00 90.00 90.00°
Space group P4/mbm (No. 127)
One atom of each set of equivalent atoms:
Cd: 0.134 0.366 0.000 [4 per cell]
Ge: 0.163 0.663 0.500 [4 per cell]
Pb: 0.000 0.000 0.500 [2 per cell]

***

Record 8
## CaTa2Co2 (PBE)

Data for a relaxed structure of CaTa2Co2.

Values from the calculation:
Formation energy from the elements   -8 meV/atom
E above lowest polymorph   0 meV/atom

Cell: 4.275 4.275 9.973 Å, 90.00 90.00 90.00°
Space group I4/mmm (No. 139)
One atom of each set of equivalent atoms:
Ca: 0.000 0.000 0.000 [2 per cell]
Ta: 0.000 0.500 0.250 [4 per cell]
Co: 0.000 0.000 0.378 [4 per cell]